(1)
# YHoRuRh

A relaxed YHoRuRh crystal (PBE-GGA, the Alexandria database).

a = 3.403 Å, b = 4.823 Å, c = 4.825 Å
α = 90.00°, β = 90.00°, γ = 90.00°
Space group Pmmm (No. 47)
Symmetry-distinct sites (fractional):
1 Y 0.000 0.000 0.000 [1 per cell]
2 Ho 0.000 0.500 0.500 [1 per cell]
3 Ru 0.500 0.500 0.000 [1 per cell]
4 Rh 0.500 0.000 0.500 [1 per cell]

Summary:
uncorrected energy = -0.2770 Ha/atom
volume = 79 Å³/cell
energy of formation = -0.62 eV/atom
D(E_F) = 0.29 states/eV per atom

=====

(2)
# HfTc3Mo2

A relaxed HfTc3Mo2 crystal (PBE-GGA, the Alexandria database).

a = 3.161 Å, b = 3.161 Å, c = 9.568 Å
α = 90.00°, β = 90.00°, γ = 90.00°
Space group P4/mmm (No. 123)
Symmetry-distinct sites (fractional):
1 Hf 0.000 0.000 0.000 [1 per cell]
2 Tc 0.500 0.500 0.178 [2 per cell]
3 Tc 0.500 0.500 0.500 [1 per cell]
4 Mo 0.000 0.000 0.335 [2 per cell]

Summary:
uncorrected energy = -0.3902 Ha/atom
volume = 96 Å³/cell
energy of formation = -0.17 eV/atom
D(E_F) = 0.58 states/eV per atom

=====

(3)
# YIr2AuF

A relaxed YIr2AuF crystal (PBE-GGA, the Alexandria database).

a = 5.139 Å, b = 5.139 Å, c = 5.434 Å
α = 90.00°, β = 90.00°, γ = 90.00°
Space group P4/mmm (No. 123)
Symmetry-distinct sites (fractional):
1 Y 0.000 0.000 0.000 [1 per cell]
2 Ir 0.000 0.500 0.000 [2 per cell]
3 Au 0.000 0.000 0.500 [1 per cell]
4 F 0.500 0.500 0.500 [1 per cell]

Summary:
ΔE_f (raw) = 7.7 eV/f.u.
uncorrected energy = -0.1587 Ha/atom
volume = 143 Å³/cell
D(E_F) = 0.98 states/eV per atom

=====

Q: Among the records above, which one has the highest volume?
A: YIr2AuF